Entry 1:
The following is a DFT calculation (PBE) of a relaxed HgTe2Pt crystal.

a b c (Å): 10.555 10.555 10.555
angles (deg): 21.94 21.94 21.94
Element x y z (fractional)
Hg 0.000 0.000 0.000
Te 0.122 0.122 0.122
Te 0.878 0.878 0.878
Pt 0.500 0.500 0.500

* DOS(E_F): 0.0 states/eV per cell
* space-group type: R-3m, No. 166
* raw formation energy: -0.2688 eV per atom
* calculated volume: 36.0 A^3/atom


Entry 2:
The following is a DFT calculation (PBE) of a relaxed MnBe2Al crystal.

a b c (Å): 2.421 3.885 4.565
angles (deg): 90.00 97.94 90.00
Element x y z (fractional)
Mn 0.000 0.000 0.000
Be 0.260 0.500 0.787
Be 0.740 0.500 0.213
Al 0.500 0.000 0.500

* DOS(E_F): 1.9 states/eV per cell
* ΔH_f (0 K): 1.0 kcal/mol of atoms
* space-group type: P2/m, No. 10
* calculated volume: 10.6 A^3/atom


Entry 3:
The following is a DFT calculation (PBE) of a relaxed BeAu3 crystal.

a b c (Å): 5.717 5.717 4.549
angles (deg): 90.00 90.00 120.00
Element x y z (fractional)
Be 0.333 0.667 0.250
Be 0.667 0.333 0.750
Au 0.171 0.343 0.750
Au 0.171 0.829 0.750
Au 0.343 0.171 0.250
Au 0.657 0.829 0.750
Au 0.829 0.171 0.250
Au 0.829 0.657 0.250

* DOS(E_F): 1.5 states/eV per cell
* ΔH_f (0 K): 1.2 kcal/mol of atoms
* space-group type: P6_3/mmc, No. 194
* calculated volume: 16.1 A^3/atom


Entry 4:
The following is a DFT calculation (PBE) of a relaxed RbSnB crystal.

a b c (Å): 3.922 6.482 9.196
angles (deg): 104.85 96.35 102.82
Element x y z (fractional)
Rb 0.000 0.000 0.000
Rb 0.064 0.697 0.522
Sn 0.574 0.342 0.773
Sn 0.623 0.102 0.359
B 0.212 0.204 0.498
B 0.981 0.237 0.630

* DOS(E_F): 0.0 states/eV per cell
* ΔH_f (0 K): 7.3 kcal/mol of atoms
* space-group type: P1, No. 1
* calculated volume: 36.1 A^3/atom


Entry 5:
The following is a DFT calculation (PBE) of a relaxed NaCa6Zn crystal.

a b c (Å): 7.366 7.366 7.355
angles (deg): 103.07 103.07 119.25
Element x y z (fractional)
Na 0.000 0.000 0.000
Ca 0.075 0.473 0.258
Ca 0.266 0.266 0.730
Ca 0.473 0.075 0.258
Ca 0.527 0.925 0.742
Ca 0.734 0.734 0.270
Ca 0.925 0.527 0.742
Zn 0.500 0.500 0.500

* DOS(E_F): 8.0 states/eV per cell
* ΔH_f (0 K): 2.1 kcal/mol of atoms
* space-group type: C2/m, No. 12
* calculated volume: 38.9 A^3/atom


Entry 6:
The following is a DFT calculation (PBE) of a relaxed Be2Si crystal.

a b c (Å): 4.080 4.080 4.080
angles (deg): 142.11 130.72 63.80
Element x y z (fractional)
Be 0.166 0.166 0.000
Be 0.834 0.834 0.000
Si 0.500 0.500 0.000

* DOS(E_F): 0.5 states/eV per cell
* space-group type: Immm, No. 71
* raw formation energy: 0.2964 eV per atom
* calculated volume: 10.4 A^3/atom


Entry 7:
The following is a DFT calculation (PBE) of a relaxed CaYCl4 crystal.

a b c (Å): 7.088 3.776 7.140
angles (deg): 90.00 108.26 90.00
Element x y z (fractional)
Ca 0.000 0.000 0.000
Y 0.000 0.500 0.500
Cl 0.223 0.500 0.250
Cl 0.234 0.000 0.755
Cl 0.766 0.000 0.245
Cl 0.777 0.500 0.750

* DOS(E_F): 2.8 states/eV per cell
* space-group type: P2/m, No. 10
* raw formation energy: -2.1050 eV per atom
* calculated volume: 30.2 A^3/atom


Entry 8:
The following is a DFT calculation (PBE) of a relaxed BaSbTeI2 crystal.

a b c (Å): 5.945 5.945 6.141
angles (deg): 90.00 90.00 90.00
Element x y z (fractional)
Ba 0.000 0.000 0.000
Sb 0.500 0.500 0.500
Te 0.500 0.500 0.000
I 0.000 0.500 0.500
I 0.500 0.000 0.500

* DOS(E_F): 0.2 states/eV per cell
* space-group type: P4/mmm, No. 123
* raw formation energy: -0.6700 eV per atom
* calculated volume: 43.4 A^3/atom


Entry 9:
The following is a DFT calculation (PBE) of a relaxed Ti3MnNi12 crystal.

a b c (Å): 3.594 3.594 14.435
angles (deg): 90.00 90.00 90.00
Element x y z (fractional)
Ti 0.000 0.000 0.000
Ti 0.000 0.000 0.253
Ti 0.000 0.000 0.747
Mn 0.000 0.000 0.500
Ni 0.000 0.500 0.125
Ni 0.000 0.500 0.376
Ni 0.000 0.500 0.624
Ni 0.000 0.500 0.875
Ni 0.500 0.000 0.125
Ni 0.500 0.000 0.376
Ni 0.500 0.000 0.624
Ni 0.500 0.000 0.875
Ni 0.500 0.500 0.000
Ni 0.500 0.500 0.250
Ni 0.500 0.500 0.500
Ni 0.500 0.500 0.750

* DOS(E_F): 9.5 states/eV per cell
* ΔH_f (0 K): -8.8 kcal/mol of atoms
* space-group type: P4/mmm, No. 123
* calculated volume: 11.7 A^3/atom


Entry 10:
The following is a DFT calculation (PBE) of a relaxed La2PaTiN5 crystal.

a b c (Å): 7.361 7.361 10.754
angles (deg): 90.00 90.00 151.96
Element x y z (fractional)
La 0.108 0.892 0.500
La 0.133 0.867 0.099
La 0.867 0.133 0.599
La 0.892 0.108 0.000
Pa 0.212 0.788 0.812
Pa 0.788 0.212 0.312
Ti 0.490 0.510 0.272
Ti 0.510 0.490 0.772
N 0.049 0.951 0.836
N 0.281 0.719 0.447
N 0.304 0.696 0.184
N 0.376 0.624 0.814
N 0.493 0.507 0.597
N 0.507 0.493 0.097
N 0.624 0.376 0.314
N 0.696 0.304 0.684
N 0.719 0.281 0.947
N 0.951 0.049 0.336

* space-group type: Cmc2_1, No. 36
* raw formation energy: -1.5193 eV per atom
* calculated volume: 15.2 A^3/atom


Entry 11:
The following is a DFT calculation (PBE) of a relaxed Pa2TcHg crystal.

a b c (Å): 5.113 5.113 3.459
angles (deg): 90.00 90.00 90.00
Element x y z (fractional)
Pa 0.000 0.500 0.000
Pa 0.500 0.000 0.000
Tc 0.000 0.000 0.500
Hg 0.500 0.500 0.500

* DOS(E_F): 5.9 states/eV per cell
* ΔH_f (0 K): 3.4 kcal/mol of atoms
* space-group type: P4/mmm, No. 123
* calculated volume: 22.6 A^3/atom


Entry 12:
The following is a DFT calculation (PBE) of a relaxed MnTlSi2 crystal.

a b c (Å): 5.167 5.167 5.167
angles (deg): 139.61 121.99 73.05
Element x y z (fractional)
Mn 0.000 0.000 0.000
Tl 0.716 0.216 0.500
Si 0.231 0.731 0.500
Si 0.429 0.429 0.000

* DOS(E_F): 2.5 states/eV per cell
* space-group type: Imm2, No. 44
* raw formation energy: 0.5448 eV per atom
* calculated volume: 18.6 A^3/atom


Result set for total energy: -13.7; -20.2; -26.7; -21.4; -13.9; -12.0; -28.5; -15.6; -108.3; -165.1; -29.1; -20.2 eV per cell, one per record in the order listed.